Compound: NaSrAs2Se
Source: Alexandria
Functional: PBE-GGA
Structure: relaxed

Cell lengths 5.764, 5.764, 5.779 Å; angles 90.00, 90.00, 90.00 degrees
Each line ends with the local moment (μB).
Element x y z (fractional)
Sr (0.000, 0.000, 0.000)  0.00
As (0.000, 0.500, 0.000)  0.17
As (0.500, 0.000, 0.000)  0.17
Se (0.000, 0.000, 0.500)  0.08
Na (0.500, 0.500, 0.500)  0.00

Results
space group	P4/mmm
raw formation energy	24.4	kJ per mole of atoms
distance to the lowest polymorph of the same formula	271	meV per atom
DOS(E_F)	5.248	states/eV/cell